Entry 1:
Pm3PrHo2 | GGA-PBE | optimized geometry

abc: 6.311 7.302 8.999
angles: 101.74 96.79 90.04
Fractional coordinates of all 12 atoms:
Pm: 0.139 0.459 0.335
Pm: 0.140 0.958 0.336
Pm: 0.252 0.624 0.997
Pm: 0.748 0.376 0.003
Pm: 0.860 0.042 0.664
Pm: 0.861 0.541 0.665
Pr: 0.252 0.125 0.996
Pr: 0.748 0.875 0.004
Ho: 0.363 0.292 0.665
Ho: 0.363 0.791 0.664
Ho: 0.637 0.209 0.336
Ho: 0.637 0.708 0.335

Output
SG ... P-1, No. 2
Total moment ... 0.00 μB/cell
Crystal system ... triclinic
E_form ... 0.001 eV per atom
Offset from the most stable computed form ... 0 meV/atom
Density ... 7.46 g/cm³

Entry 2:
SiSb2Te | GGA-PBE | optimized geometry

abc: 8.342 8.342 8.342
angles: 28.78 28.78 28.78
Fractional coordinates of all 4 atoms:
Si: 0.000 0.000 0.000
Sb: 0.481 0.481 0.481
Sb: 0.746 0.746 0.746
Te: 0.277 0.277 0.277

Output
SG ... R3m, No. 160
Formation energy from raw total energies ... 0.084 eV/atom
Total moment ... 0.00 μB/cell
Crystal system ... trigonal
Offset from the most stable computed form ... 0 meV/atom
Density ... 5.57 g/cm³

Q: Number 1 is which compound?
A: Pm3PrHo2

What did the first record say?
Pm3PrHo2 | GGA-PBE | optimized geometry

abc: 6.311 7.302 8.999
angles: 101.74 96.79 90.04
Fractional coordinates of all 12 atoms:
Pm: 0.139 0.459 0.335
Pm: 0.140 0.958 0.336
Pm: 0.252 0.624 0.997
Pm: 0.748 0.376 0.003
Pm: 0.860 0.042 0.664
Pm: 0.861 0.541 0.665
Pr: 0.252 0.125 0.996
Pr: 0.748 0.875 0.004
Ho: 0.363 0.292 0.665
Ho: 0.363 0.791 0.664
Ho: 0.637 0.209 0.336
Ho: 0.637 0.708 0.335

Output
SG ... P-1, No. 2
Total moment ... 0.00 μB/cell
Crystal system ... triclinic
E_form ... 0.001 eV per atom
Offset from the most stable computed form ... 0 meV/atom
Density ... 7.46 g/cm³